! Ti2Fe2Os, relaxed, DFT PBE; values from VASP
&SYSTEM
  ibrav = 0, nat = 10, ntyp = 3
/
ATOMIC_SPECIES
Ti 47.87 Ti.upf
Fe 55.84 Fe.upf
Os 190.23 Os.upf
ATOMIC_POSITIONS crystal
Ti 0.190 0.310 0.000
Ti 0.310 0.810 0.000
Ti 0.690 0.190 0.000
Ti 0.810 0.690 0.000
Fe 0.115 0.615 0.500
Fe 0.385 0.115 0.500
Fe 0.615 0.885 0.500
Fe 0.885 0.385 0.500
Os 0.000 0.000 0.500
Os 0.500 0.500 0.500
CELL_PARAMETERS angstrom
6.578 0.000 0.000
0.000 6.578 0.000
0.000 0.000 3.163
! Energy relative to the elements   -0.099 eV/atom
! Relative energy among the computed polymorphs   0.0 meV/atom
! Total magnetization   0.3891 μB/atom
! Raw total energy   -8.89 eV per atom